# 1
Computed, not measured: a crystal of CdTc2Ru relaxed with PBEsol at the meta-GGA SCAN level of DFT.

abc: 2.7399 3.8680 5.6935
angles: 90.00 90.00 90.00
Closest atoms and distances in Å follow each position.
Fractional positions:
Cd 0.0000 0.0000 0.5040  2 Cd 2.74, 4 Ru 2.84, 6 Tc 2.84-2.89
Ru 0.5000 0.5000 0.7792  5 Tc 2.47-2.69, 2 Ru 2.74
Tc 0.0000 0.0000 0.0043  6 Tc 2.65-2.74, 4 Ru 2.69, 2 Cd 2.84-2.85
Tc 0.5000 0.5000 0.2126  1 Ru 2.47, 6 Tc 2.65-2.74

Volume ... 15.09 Å³/atom
ΔE_f ... 30.18 kJ/mol of atoms
Spin magnetization ... 0.0 μB/f.u.

***

# 2
Computed, not measured: a crystal of Mn3AlRh relaxed with PBEsol at the meta-GGA SCAN level of DFT.

abc: 4.3513 4.3513 4.3513
angles: 90.00 90.00 90.00
Closest atoms and distances in Å follow each position.
Fractional positions:
Mn 0.0000 0.5000 0.0000  2 Al 2.18
Mn 0.0000 0.0000 0.5000  2 Al 2.18
Mn 0.5000 0.0000 0.0000  2 Al 2.18
Rh 0.5000 0.5000 0.5000  12 Mn 3.08
Al 0.0000 0.0000 0.0000  6 Mn 2.18

Volume ... 16.48 Å³/atom
ΔE_f ... 87.52 kJ/mol of atoms
Spin magnetization ... 11.7 μB/f.u.

***

# 3
Computed, not measured: a crystal of Ba2VCu2F12 relaxed with PBEsol at the meta-GGA SCAN level of DFT.

abc: 5.2811 7.0062 7.2735
angles: 65.70 70.13 71.98
Closest atoms and distances in Å follow each position.
Fractional positions:
Ba 0.2189 0.7923 0.2834  8 F 2.68-2.87
Ba 0.7811 0.2077 0.7166  8 F 2.68-2.87
V 0.0000 0.5000 0.0000  6 F 1.82-1.88
Cu 0.4502 0.2142 0.3317  4 F 1.87-2.00
Cu 0.5498 0.7858 0.6683  4 F 1.87-2.00
F 0.0279 0.2355 0.9977  1 V 1.82
F 0.9721 0.7645 0.0023  1 V 1.82
F 0.0947 0.3840 0.2571  1 V 1.88, 1 Cu 2.00
F 0.9053 0.6160 0.7429  1 V 1.88, 1 Cu 2.00
F 0.6369 0.5066 0.1352  1 V 1.83
F 0.3631 0.4934 0.8648  1 V 1.83
F 0.7727 0.0522 0.4346  1 Cu 1.93
F 0.2273 0.9478 0.5654  1 Cu 1.93
F 0.3268 0.3512 0.5316  1 Cu 1.89
F 0.6732 0.6488 0.4684  1 Cu 1.89
F 0.5355 0.0836 0.1342  1 Cu 1.87
F 0.4645 0.9164 0.8658  1 Cu 1.87

Volume ... 13.30 Å³/atom
Spin magnetization ... 2.9 μB/f.u.
Formation energy from raw total energies ... -3053 meV per atom

***

# 4
Computed, not measured: a crystal of BaCdSe3 relaxed with PBEsol at the meta-GGA SCAN level of DFT.

abc: 5.2159 5.2159 5.2159
angles: 90.00 90.00 90.00
Closest atoms and distances in Å follow each position.
Fractional positions:
Ba 0.5000 0.5000 0.5000  12 Se 3.69
Se 0.0000 0.5000 0.0000  2 Cd 2.61
Se 0.0000 0.0000 0.5000  2 Cd 2.61
Se 0.5000 0.0000 0.0000  2 Cd 2.61
Cd 0.0000 0.0000 0.0000  6 Se 2.61

Volume ... 28.38 Å³/atom
Spin magnetization ... 0.0 μB/f.u.
Formation energy from raw total energies ... -838 meV per atom

***

# 5
Computed, not measured: a crystal of ScAgAs3 relaxed with PBEsol at the meta-GGA SCAN level of DFT.

abc: 4.9910 4.9910 4.9910
angles: 90.00 90.00 90.00
Closest atoms and distances in Å follow each position.
Fractional positions:
Sc 0.0000 0.0000 0.0000  6 As 2.50
As 0.0000 0.5000 0.0000  2 Sc 2.50
As 0.0000 0.0000 0.5000  2 Sc 2.50
As 0.5000 0.0000 0.0000  2 Sc 2.50
Ag 0.5000 0.5000 0.5000  12 As 3.53

Volume ... 24.87 Å³/atom
ΔE_f ... 35.62 kJ/mol of atoms
Spin magnetization ... 0.0 μB/f.u.

***

# 6
Computed, not measured: a crystal of Cr2Ir relaxed with PBEsol at the meta-GGA SCAN level of DFT.

abc: 4.6638 4.6638 15.2770
angles: 90.00 90.00 120.00
Closest atoms and distances in Å follow each position.
Fractional positions:
Cr 0.3333 0.6667 0.8736  6 Cr 2.34-2.35
Cr 0.6667 0.3333 0.1264  6 Cr 2.34-2.35
Cr 0.6667 0.3333 0.3736  6 Cr 2.34-2.35
Cr 0.3333 0.6667 0.6264  6 Cr 2.34-2.35
Cr 0.0000 0.5000 0.0000  6 Cr 2.33-2.35
Cr 0.5000 0.0000 0.0000  6 Cr 2.33-2.35
Cr 0.5000 0.5000 0.0000  6 Cr 2.33-2.35
Cr 0.0000 0.5000 0.5000  6 Cr 2.33-2.35
Cr 0.5000 0.0000 0.5000  6 Cr 2.33-2.35
Cr 0.5000 0.5000 0.5000  6 Cr 2.33-2.35
Cr 0.6748 0.8374 0.7500  6 Cr 2.27-2.39
Cr 0.1626 0.3252 0.7500  6 Cr 2.27-2.39
Cr 0.1626 0.8374 0.7500  6 Cr 2.27-2.39
Cr 0.3252 0.1626 0.2500  6 Cr 2.27-2.39
Cr 0.8374 0.6748 0.2500  6 Cr 2.27-2.39
Cr 0.8374 0.1626 0.2500  6 Cr 2.27-2.39
Ir 0.0000 0.0000 0.9074  12 Cr 2.73-2.74, 4 Ir 2.83-2.86
Ir 0.0000 0.0000 0.0926  12 Cr 2.73-2.74, 4 Ir 2.83-2.86
Ir 0.0000 0.0000 0.4074  12 Cr 2.73-2.74, 4 Ir 2.83-2.86
Ir 0.0000 0.0000 0.5926  12 Cr 2.73-2.74, 4 Ir 2.83-2.86
Ir 0.3333 0.6667 0.1562  12 Cr 2.73-2.74, 4 Ir 2.86-2.87
Ir 0.6667 0.3333 0.8438  12 Cr 2.73-2.74, 4 Ir 2.86-2.87
Ir 0.6667 0.3333 0.6562  12 Cr 2.73-2.74, 4 Ir 2.86-2.87
Ir 0.3333 0.6667 0.3438  12 Cr 2.73-2.74, 4 Ir 2.86-2.87

Volume ... 11.99 Å³/atom
ΔE_f ... -14.25 kJ/mol of atoms
Spin magnetization ... 0.0 μB/f.u.

***

# 7
Computed, not measured: a crystal of Cd2TcOs relaxed with PBEsol at the meta-GGA SCAN level of DFT.

abc: 4.5049 4.5049 4.5049
angles: 60.00 60.00 60.00
Closest atoms and distances in Å follow each position.
Fractional positions:
Cd 0.0000 0.0000 0.0000  4 Cd 2.76, 4 Tc 2.76
Cd 0.2500 0.2500 0.2500  4 Cd 2.76, 4 Os 2.76
Os 0.5000 0.5000 0.5000  4 Tc 2.76, 4 Cd 2.76
Tc 0.7500 0.7500 0.7500  4 Cd 2.76, 4 Os 2.76

Volume ... 16.16 Å³/atom
ΔE_f ... 56.78 kJ/mol of atoms
Spin magnetization ... 0.0 μB/f.u.
Energy above the most stable polymorph in this dataset ... 36 meV per atom

***

# 8
Computed, not measured: a crystal of GaAsRu3 relaxed with PBEsol at the meta-GGA SCAN level of DFT.

abc: 4.4408 4.4408 4.4408
angles: 90.00 90.00 90.00
Closest atoms and distances in Å follow each position.
Fractional positions:
Ru 0.0000 0.5000 0.0000  2 Ga 2.22
Ru 0.0000 0.0000 0.5000  2 Ga 2.22
Ru 0.5000 0.0000 0.0000  2 Ga 2.22
As 0.5000 0.5000 0.5000  12 Ru 3.14
Ga 0.0000 0.0000 0.0000  6 Ru 2.22

Volume ... 17.52 Å³/atom
ΔE_f ... 137.41 kJ/mol of atoms
Spin magnetization ... 0.0 μB/f.u.

***

# 9
Computed, not measured: a crystal of Ti2SbPt2 relaxed with PBEsol at the meta-GGA SCAN level of DFT.

abc: 3.0269 7.4961 7.4961
angles: 90.00 90.00 90.00
Closest atoms and distances in Å follow each position.
Fractional positions:
Sb 0.0000 0.0000 0.0000  4 Pt 2.94, 2 Sb 3.03, 8 Ti 3.19
Sb 0.0000 0.5000 0.5000  4 Pt 2.94, 2 Sb 3.03, 8 Ti 3.19
Pt 0.0000 0.3693 0.8693  6 Ti 2.67-2.68, 1 Pt 2.77, 2 Sb 2.94
Pt 0.0000 0.8693 0.6307  6 Ti 2.67-2.68, 1 Pt 2.77, 2 Sb 2.94
Pt 0.0000 0.6307 0.1307  6 Ti 2.67-2.68, 1 Pt 2.77, 2 Sb 2.94
Pt 0.0000 0.1307 0.3693  6 Ti 2.67-2.68, 1 Pt 2.77, 2 Sb 2.94
Ti 0.5000 0.1620 0.6620  6 Pt 2.67-2.68
Ti 0.5000 0.6620 0.8380  6 Pt 2.67-2.68
Ti 0.5000 0.8380 0.3380  6 Pt 2.67-2.68
Ti 0.5000 0.3380 0.1620  6 Pt 2.67-2.68

Volume ... 17.01 Å³/atom
Spin magnetization ... 0.0 μB/f.u.
Formation energy from raw total energies ... -866 meV per atom

***

# 10
Computed, not measured: a crystal of NaBe2Sn relaxed with PBEsol at the meta-GGA SCAN level of DFT.

abc: 4.5486 4.5486 8.8310
angles: 104.92 104.92 90.00
Closest atoms and distances in Å follow each position.
Fractional positions:
Na 0.5000 0.5000 0.0000  4 Sn 3.22, 8 Be 3.27
Na 0.7500 0.2500 0.5000  4 Sn 3.22, 8 Be 3.27
Sn 0.0000 0.0000 0.0000  4 Be 2.35
Sn 0.2500 0.7500 0.5000  4 Be 2.35
Be 0.6250 0.8750 0.7500  2 Be 2.27, 2 Sn 2.35
Be 0.1250 0.8750 0.7500  2 Be 2.27, 2 Sn 2.35
Be 0.1250 0.8750 0.2500  2 Be 2.27, 2 Sn 2.35
Be 0.1250 0.3750 0.2500  2 Be 2.27, 2 Sn 2.35

Volume ... 21.27 Å³/atom
ΔE_f ... 47.95 kJ/mol of atoms
Spin magnetization ... 0.0 μB/f.u.

***

# 11
Computed, not measured: a crystal of Dy2Tl relaxed with PBEsol at the meta-GGA SCAN level of DFT.

abc: 5.3105 5.3105 6.5806
angles: 90.00 90.00 120.00
Closest atoms and distances in Å follow each position.
Fractional positions:
Tl 0.3333 0.6667 0.2500  5 Dy 3.07-3.29
Tl 0.6667 0.3333 0.7500  5 Dy 3.07-3.29
Dy 0.0000 0.0000 0.5000  8 Dy 3.29-3.48, 6 Tl 3.48
Dy 0.0000 0.0000 0.0000  8 Dy 3.29-3.48, 6 Tl 3.48
Dy 0.3333 0.6667 0.7500  5 Tl 3.07-3.29
Dy 0.6667 0.3333 0.2500  5 Tl 3.07-3.29

Volume ... 26.79 Å³/atom
ΔE_f ... -44.49 kJ/mol of atoms
Spin magnetization ... 0.7 μB/f.u.

***

# 12
Computed, not measured: a crystal of Be5Al4Fe2 relaxed with PBEsol at the meta-GGA SCAN level of DFT.

abc: 4.3231 4.3231 7.7576
angles: 77.28 77.28 60.26
Closest atoms and distances in Å follow each position.
Fractional positions:
Be 0.0000 0.5000 0.0000  4 Be 2.16-2.17, 2 Fe 2.24
Be 0.5000 0.0000 0.5000  2 Be 2.17, 2 Fe 2.21
Be 0.0000 0.0000 0.0000  4 Be 2.16, 2 Fe 2.22
Be 0.5000 0.0000 0.0000  4 Be 2.16-2.17, 2 Fe 2.24
Be 0.0000 0.5000 0.5000  2 Be 2.17, 2 Fe 2.21
Fe 0.7702 0.7702 0.2471  5 Be 2.21-2.24, 1 Al 2.48
Fe 0.2298 0.2298 0.7529  5 Be 2.21-2.24, 1 Al 2.48
Al 0.5522 0.5522 0.8033  3 Fe 2.52-2.54, 8 Be 2.62-2.67, 3 Al 2.62-2.66
Al 0.0809 0.0809 0.3056  5 Be 2.45-2.62, 3 Fe 2.48-2.57, 3 Al 2.62-2.66
Al 0.4478 0.4478 0.1967  3 Fe 2.52-2.54, 8 Be 2.62-2.67, 3 Al 2.62-2.66
Al 0.9191 0.9191 0.6944  5 Be 2.45-2.62, 3 Fe 2.48-2.57, 3 Al 2.62-2.66

Volume ... 11.07 Å³/atom
ΔE_f ... -12.51 kJ/mol of atoms
Spin magnetization ... 1.1 μB/f.u.

***

# 13
Computed, not measured: a crystal of AlPtBr2 relaxed with PBEsol at the meta-GGA SCAN level of DFT.

abc: 3.2427 4.2618 5.8326
angles: 90.00 90.00 90.00
Closest atoms and distances in Å follow each position.
Fractional positions:
Br 0.0000 0.0000 0.0000  4 Pt 2.68
Br 0.5000 0.0000 0.5000  4 Al 2.68
Pt 0.5000 0.5000 0.0000  4 Br 2.68
Al 0.0000 0.5000 0.5000  4 Br 2.68

Volume ... 20.15 Å³/atom
Spin magnetization ... 0.0 μB/f.u.
Energy above the most stable polymorph in this dataset ... 867 meV per atom
Formation energy from raw total energies ... 314 meV per atom

***

# 14
Computed, not measured: a crystal of InCo3I relaxed with PBEsol at the meta-GGA SCAN level of DFT.

abc: 4.6932 4.6932 4.6932
angles: 90.00 90.00 90.00
Closest atoms and distances in Å follow each position.
Fractional positions:
I 0.5000 0.5000 0.5000  12 Co 3.32
Co 0.0000 0.5000 0.0000  2 In 2.35
Co 0.0000 0.0000 0.5000  2 In 2.35
Co 0.5000 0.0000 0.0000  2 In 2.35
In 0.0000 0.0000 0.0000  6 Co 2.35

Volume ... 20.67 Å³/atom
Spin magnetization ... 5.7 μB/f.u.
Formation energy from raw total energies ... 1285 meV per atom

***

# 15
Computed, not measured: a crystal of Mn2CoAu relaxed with PBEsol at the meta-GGA SCAN level of DFT.

abc: 2.7589 2.7589 8.3578
angles: 80.50 80.50 60.00
Closest atoms and distances in Å follow each position.
Fractional positions:
Au 0.5000 0.5000 0.5000  6 Au 2.76, 6 Mn 2.76
Co 0.0000 0.0000 0.0000  6 Mn 2.44
Mn 0.2583 0.2583 0.2252  3 Co 2.44
Mn 0.7417 0.7417 0.7748  3 Co 2.44

Volume ... 13.52 Å³/atom
ΔE_f ... -6.80 kJ/mol of atoms
Spin magnetization ... 9.2 μB/f.u.
Energy above the most stable polymorph in this dataset ... 303 meV per atom

***

# 16
Computed, not measured: a crystal of Mg4Sb relaxed with PBEsol at the meta-GGA SCAN level of DFT.

abc: 4.2943 5.5663 5.5663
angles: 81.44 67.31 67.31
Closest atoms and distances in Å follow each position.
Fractional positions:
Mg 0.6000 0.2017 0.5984  9 Mg 3.13-3.26, 3 Sb 3.15-3.24
Mg 0.8016 0.5984 0.7983  9 Mg 3.13-3.26, 3 Sb 3.15-3.24
Mg 0.4000 0.7983 0.4016  9 Mg 3.13-3.26, 3 Sb 3.15-3.24
Mg 0.1984 0.4016 0.2017  9 Mg 3.13-3.26, 3 Sb 3.15-3.24
Sb 0.0000 0.0000 0.0000  12 Mg 3.15-3.24

Volume ... 22.65 Å³/atom
Spin magnetization ... 0.0 μB/f.u.
Formation energy from raw total energies ... -117 meV per atom

***

# 17
Computed, not measured: a crystal of Zr6Co23 relaxed with PBEsol at the meta-GGA SCAN level of DFT.

abc: 7.9903 7.9903 7.9903
angles: 60.00 60.00 60.00
Closest atoms and distances in Å follow each position.
Fractional positions:
Co 0.5000 0.5000 0.5000  8 Co 2.37
Co 0.5000 0.0000 0.5000  8 Co 2.31-2.47
Co 0.0000 0.5000 0.0000  8 Co 2.31-2.47
Co 0.0000 0.5000 0.5000  8 Co 2.31-2.47
Co 0.5000 0.0000 0.0000  8 Co 2.31-2.47
Co 0.0000 0.0000 0.5000  8 Co 2.31-2.47
Co 0.5000 0.5000 0.0000  8 Co 2.31-2.47
Co 0.6209 0.6209 0.1374  7 Co 2.37-2.47
Co 0.6209 0.6209 0.6209  7 Co 2.37-2.47
Co 0.6209 0.1374 0.6209  7 Co 2.37-2.47
Co 0.1374 0.6209 0.6209  7 Co 2.37-2.47
Co 0.3791 0.3791 0.3791  7 Co 2.37-2.47
Co 0.3791 0.3791 0.8626  7 Co 2.37-2.47
Co 0.3791 0.8626 0.3791  7 Co 2.37-2.47
Co 0.8626 0.3791 0.3791  7 Co 2.37-2.47
Co 0.8248 0.8248 0.5256  9 Co 2.31-2.46
Co 0.8248 0.8248 0.8248  9 Co 2.31-2.46
Co 0.8248 0.5256 0.8248  9 Co 2.31-2.46
Co 0.5256 0.8248 0.8248  9 Co 2.31-2.46
Co 0.1752 0.1752 0.1752  9 Co 2.31-2.46
Co 0.1752 0.1752 0.4744  9 Co 2.31-2.46
Co 0.1752 0.4744 0.1752  9 Co 2.31-2.46
Co 0.4744 0.1752 0.1752  9 Co 2.31-2.46
Zr 0.2114 0.7886 0.2114  12 Co 2.71-2.86
Zr 0.7886 0.2114 0.7886  12 Co 2.71-2.86
Zr 0.7886 0.2114 0.2114  12 Co 2.71-2.86
Zr 0.2114 0.7886 0.7886  12 Co 2.71-2.86
Zr 0.7886 0.7886 0.2114  12 Co 2.71-2.86
Zr 0.2114 0.2114 0.7886  12 Co 2.71-2.86

Volume ... 12.44 Å³/atom
ΔE_f ... -19.40 kJ/mol of atoms
Spin magnetization ... 30.5 μB/f.u.

***

# 18
Computed, not measured: a crystal of Cs3TlF relaxed with PBEsol at the meta-GGA SCAN level of DFT.

abc: 5.9341 5.9341 5.9341
angles: 90.00 90.00 90.00
Closest atoms and distances in Å follow each position.
Fractional positions:
Cs 0.0000 0.5000 0.0000  2 F 2.97
Cs 0.0000 0.0000 0.5000  2 F 2.97
Cs 0.5000 0.0000 0.0000  2 F 2.97
Tl 0.5000 0.5000 0.5000  12 Cs 4.20
F 0.0000 0.0000 0.0000  6 Cs 2.97

Volume ... 41.79 Å³/atom
Spin magnetization ... 0.0 μB/f.u.
Formation energy from raw total energies ... -1141 meV per atom

***

# 19
Computed, not measured: a crystal of Cd2AgAs relaxed with PBEsol at the meta-GGA SCAN level of DFT.

abc: 2.9705 2.9705 10.1455
angles: 81.58 81.58 60.00
Closest atoms and distances in Å follow each position.
Fractional positions:
As 0.2432 0.2432 0.2705  3 Ag 2.83, 6 As 2.97
Ag 0.5016 0.5016 0.4952  3 As 2.83, 3 Cd 2.94, 6 Ag 2.97
Cd 0.9999 0.9999 0.0004  9 Cd 2.97-3.17, 3 As 3.20
Cd 0.7554 0.7554 0.7339  3 Ag 2.94, 9 Cd 2.97-3.17

Volume ... 19.10 Å³/atom
ΔE_f ... 11.01 kJ/mol of atoms
Spin magnetization ... 0.0 μB/f.u.

***

# 20
Computed, not measured: a crystal of CdCo3Ag relaxed with PBEsol at the meta-GGA SCAN level of DFT.

abc: 4.5514 4.5514 4.5514
angles: 90.00 90.00 90.00
Closest atoms and distances in Å follow each position.
Fractional positions:
Co 0.0000 0.5000 0.0000  2 Ag 2.28
Co 0.0000 0.0000 0.5000  2 Ag 2.28
Co 0.5000 0.0000 0.0000  2 Ag 2.28
Ag 0.0000 0.0000 0.0000  6 Co 2.28
Cd 0.5000 0.5000 0.5000  12 Co 3.22

Volume ... 18.86 Å³/atom
ΔE_f ... 148.24 kJ/mol of atoms
Spin magnetization ... 6.2 μB/f.u.